[1]
Material: YSi2Ru
Method: DFT, meta-GGA SCAN
State: PBEsol geometry

The structure in POSCAR format:
```
YSi2Ru
1.0
-4.047 0.241 -0.081
1.938 -0.405 3.495
0.337 5.022 -1.945
Y Ru Si
1 1 2
direct
0.500 0.000 0.000
0.000 0.000 0.500
0.711 0.423 0.637
0.289 0.577 0.363
```

For the total energy, the calculation gives -21.49 eV/atom. For the density of states at the Fermi level, the calculation gives 0.595 states/eV/atom. Its raw formation energy is -0.82 eV per atom.



[2]
Material: Y2Si2Ru
Method: DFT, meta-GGA SCAN
State: PBEsol geometry

The structure in POSCAR format:
```
Y2Si2Ru
1.0
-2.728 2.069 -0.245
-1.650 -2.392 -1.828
-0.918 -3.099 8.108
Y Ru Si
2 1 2
direct
0.402 0.402 0.804
0.598 0.598 0.196
0.000 0.000 0.000
0.250 0.750 0.500
0.750 0.250 0.500
```

For the total energy, the calculation gives -22.38 eV/atom. For the density of states at the Fermi level, the calculation gives 0.679 states/eV/atom. Its raw formation energy is -0.27 eV per atom.